Record 1
Entry from Alexandria: a relaxed H6PtRh2 crystal (PBE).

Properties
Crystal system: orthorhombic
Raw total energy (eV/f.u.): -40.27
Density of states at the Fermi level (states/eV per cell): 9.023
Total moment (μB/cell): 0.00

abc: 3.7802 4.8067 7.6153
angles: 90.02 90.00 90.00
Last column: nearest neighbours and their distance in Å.
Fractional coordinates of all 18 atoms:
1 H 0.2847 0.2096 0.6453  2 Rh 1.77-1.80, 1 Pt 1.84
2 H 0.2855 0.2105 0.3552  2 Rh 1.77-1.80, 1 Pt 1.85
3 H 0.2839 0.1511 0.9996  2 Rh 1.85, 1 Pt 1.87
4 H 0.7839 0.3489 0.5004  2 Rh 1.85, 1 Pt 1.87
5 H 0.7855 0.2895 0.1448  2 Rh 1.77-1.80, 1 Pt 1.85
6 H 0.7847 0.2904 0.8547  2 Rh 1.77-1.80, 1 Pt 1.84
7 H 0.7153 0.7904 0.3547  2 Rh 1.77-1.80, 1 Pt 1.84
8 H 0.7145 0.7895 0.6448  2 Rh 1.77-1.80, 1 Pt 1.85
9 H 0.7161 0.8489 0.0004  2 Rh 1.85, 1 Pt 1.87
10 H 0.2161 0.6511 0.4996  2 Rh 1.85, 1 Pt 1.87
11 H 0.2145 0.7105 0.8552  2 Rh 1.77-1.80, 1 Pt 1.85
12 H 0.2153 0.7096 0.1453  2 Rh 1.77-1.80, 1 Pt 1.84
13 Pt 0.5000 0.5000 0.0000  6 H 1.84-1.87
14 Pt 0.0000 0.0000 0.5000  6 H 1.84-1.87
15 Rh 0.4995 0.0002 0.1959  6 H 1.77-1.85
16 Rh 0.9995 0.4998 0.3041  6 H 1.77-1.85
17 Rh 0.0005 0.5002 0.6959  6 H 1.77-1.85
18 Rh 0.5005 0.9998 0.8041  6 H 1.77-1.85

=====

Record 2
Entry from Alexandria: a relaxed Tl2PtRhCl crystal (PBE).

Properties
Raw formation energy (eV per atom): 0.627
Crystal system: tetragonal
Density of states at the Fermi level (states/eV per cell): 11.771
Total moment (μB/cell): 1.12

abc: 5.3916 4.7409 5.3916
angles: 90.00 90.00 90.00
Last column: nearest neighbours and their distance in Å.
Fractional coordinates of all 5 atoms:
1 Tl 0.0000 0.0000 0.5000  2 Pt 2.70
2 Tl 0.5000 0.0000 0.0000  2 Pt 2.70
3 Rh 0.5000 0.5000 0.5000  8 Tl 3.59, 4 Cl 3.81
4 Pt 0.0000 0.0000 0.0000  2 Cl 2.37
5 Cl 0.0000 0.5000 0.0000  2 Pt 2.37

=====

Record 3
Entry from Alexandria: a relaxed Ba2Zn3Pd5 crystal (PBE).

Properties
Crystal system: orthorhombic
Energy of formation (eV per formula unit): -4.87
Density of states at the Fermi level (states/eV per cell): 8.132
Total moment (μB/cell): 0.00

abc: 6.3162 8.9588 8.9588
angles: 70.74 69.36 69.36
Last column: nearest neighbours and their distance in Å.
Fractional coordinates of all 20 atoms:
1 Ba 0.1341 0.6259 0.1058  11 Pd 3.35-3.72, 6 Zn 3.43-3.51
2 Ba 0.6341 0.1058 0.6259  11 Pd 3.35-3.72, 6 Zn 3.43-3.51
3 Ba 0.8659 0.3741 0.8942  11 Pd 3.35-3.72, 6 Zn 3.43-3.51
4 Ba 0.3659 0.8942 0.3741  11 Pd 3.35-3.72, 6 Zn 3.43-3.51
5 Zn 0.3867 0.4793 0.7472  5 Pd 2.57-2.58
6 Zn 0.8867 0.7472 0.4793  5 Pd 2.57-2.58
7 Zn 0.6133 0.5207 0.2528  5 Pd 2.57-2.58
8 Zn 0.1133 0.2528 0.5207  5 Pd 2.57-2.58
9 Zn 0.2500 0.0000 0.0000  4 Pd 2.58
10 Zn 0.7500 0.0000 0.0000  4 Pd 2.58
11 Pd 0.3763 0.2420 0.0054  3 Zn 2.57-2.58, 2 Pd 2.81
12 Pd 0.8763 0.0054 0.2420  3 Zn 2.57-2.58, 2 Pd 2.81
13 Pd 0.6237 0.7580 0.9946  3 Zn 2.57-2.58, 2 Pd 2.81
14 Pd 0.1237 0.9946 0.7580  3 Zn 2.57-2.58, 2 Pd 2.81
15 Pd 0.5235 0.7265 0.7265  2 Zn 2.58, 2 Pd 2.81
16 Pd 0.4765 0.2735 0.2735  2 Zn 2.58, 2 Pd 2.81
17 Pd 0.7500 0.5000 0.5000  4 Zn 2.58
18 Pd 0.2500 0.5000 0.5000  4 Zn 2.58
19 Pd 0.9765 0.2735 0.2735  2 Zn 2.58, 2 Pd 2.81
20 Pd 0.0235 0.7265 0.7265  2 Zn 2.58, 2 Pd 2.81

=====

- The highest density of states at the Fermi level belongs to which entry?
  Tl2PtRhCl